[1]
Compound: YNiB3
Source: Alexandria via LeMat-Bulk
Functional: GGA-PBE
Structure: optimized geometry

ΔE_f = 0.349 eV per atom

Cell lengths 3.8834, 3.8834, 3.8834 Å; angles 90.00, 90.00, 90.00 degrees
Space group Pm-3m (No. 221)
Symmetry-distinct sites (fractional):
Y  0.0000  0.0000  0.0000
Ni  0.5000  0.5000  0.5000
B  0.0000  0.5000  0.5000

---

[2]
Compound: HoScCoAu
Source: Alexandria via LeMat-Bulk
Functional: GGA-PBE
Structure: optimized geometry

ΔE_f = -0.465 eV per atom

Cell lengths 6.7613, 6.7613, 6.7613 Å; angles 90.00, 90.00, 90.00 degrees
Space group F-43m (No. 216)
Symmetry-distinct sites (fractional):
Ho  0.0000  0.0000  0.0000
Sc  0.0000  0.0000  0.5000
Co  0.2500  0.2500  0.2500
Au  0.2500  0.2500  0.7500

---

[3]
Compound: Ac2Pm8Pr3
Source: Alexandria via LeMat-Bulk
Functional: GGA-PBE
Structure: optimized geometry

ΔE_f = 0.167 eV per atom

Cell lengths 13.5407, 12.0664, 6.3670 Å; angles 90.00, 113.05, 90.00 degrees
Space group C2/m (No. 12)
Symmetry-distinct sites (fractional):
Ac  0.2025  0.0000  0.3567
Pm  0.0684  0.0000  0.7755
Pm  0.1536  0.5000  0.0384
Pm  0.1722  0.2452  0.6819
Pr  0.0000  0.2573  0.0000
Pr  0.0000  0.5000  0.5000

---

[4]
Compound: RbCeO3
Source: Alexandria via LeMat-Bulk
Functional: GGA-PBE
Structure: optimized geometry

formation energy from raw total energies = -2.2497 eV/atom

Cell lengths 3.5198, 6.5178, 7.3596 Å; angles 90.00, 90.00, 90.00 degrees
Space group Pmmn (No. 59, origin choice 2)
Symmetry-distinct sites (fractional):
Rb  0.2500  0.2500  0.0989
Ce  0.2500  0.2500  0.5804
O  0.2500  0.5918  0.6164
O  0.2500  0.7500  0.2301

---

[5]
Compound: PPt
Source: Alexandria via LeMat-Bulk
Functional: GGA-PBE
Structure: optimized geometry

ΔE_f = -0.211 eV per atom

Cell lengths 11.2683, 3.5625, 6.2696 Å; angles 90.00, 90.00, 90.00 degrees
Space group Pmn2_1 (No. 31)
Symmetry-distinct sites (fractional):
P  0.0000  0.1443  0.0000
P  0.1928  0.6710  0.3744
Pt  0.0000  0.6540  0.2488
Pt  0.1992  0.8322  0.0007

---

[6]
Compound: TcPW2
Source: Alexandria via LeMat-Bulk
Functional: GGA-PBE
Structure: optimized geometry

ΔE_f = 0.606 eV per atom

Cell lengths 3.8041, 3.8041, 17.8673 Å; angles 90.00, 90.00, 90.00 degrees
Space group I-42d (No. 122)
Symmetry-distinct sites (fractional):
Tc  0.0000  0.0000  0.0000
P  0.0000  0.0000  0.5000
W  0.2249  0.2500  0.6250

---

[7]
Compound: LiTl3Ag2I6
Source: Alexandria via LeMat-Bulk
Functional: GGA-PBE
Structure: optimized geometry

formation energy from raw total energies = -0.5625 eV/atom

Cell lengths 7.8796, 13.6852, 8.3267 Å; angles 90.00, 108.34, 90.00 degrees
Space group C2/m (No. 12)
Symmetry-distinct sites (fractional):
Li  0.0000  0.0000  0.0000
Tl  0.0000  0.1671  0.5000
Tl  0.0000  0.5000  0.5000
Ag  0.0000  0.3335  0.0000
I  0.2351  0.1651  0.2066
I  0.2394  0.5000  0.2088

---

[8]
Compound: PdRu3
Source: Alexandria via LeMat-Bulk
Functional: GGA-PBE
Structure: optimized geometry

ΔE_f = 0.171 eV per atom

Cell lengths 2.7456, 8.7383, 4.7420 Å; angles 90.00, 90.00, 90.00 degrees
Space group Imm2 (No. 44)
Symmetry-distinct sites (fractional):
Pd  0.0000  0.0000  0.0000
Ru  0.0000  0.2445  0.3413
Ru  0.0000  0.5000  0.0036

---

[9]
Compound: PmZr2Ta
Source: Alexandria via LeMat-Bulk
Functional: GGA-PBE
Structure: optimized geometry

ΔE_f = 0.169 eV per atom

Cell lengths 3.5248, 3.5248, 7.7996 Å; angles 90.00, 90.00, 90.00 degrees
Space group P4/mmm (No. 123)
Symmetry-distinct sites (fractional):
Pm  0.0000  0.0000  0.0000
Zr  0.5000  0.5000  0.2963
Ta  0.0000  0.0000  0.5000

---

[10]
Compound: Y2TaRu
Source: Alexandria via LeMat-Bulk
Functional: GGA-PBE
Structure: optimized geometry

ΔE_f = 0.133 eV per atom

Cell lengths 3.3462, 3.3462, 7.8197 Å; angles 90.00, 90.00, 90.00 degrees
Space group P4/mmm (No. 123)
Symmetry-distinct sites (fractional):
Y  0.0000  0.0000  0.2184
Ta  0.5000  0.5000  0.5000
Ru  0.5000  0.5000  0.0000

---

[11]
Compound: Rb3PdSe
Source: Alexandria via LeMat-Bulk
Functional: GGA-PBE
Structure: optimized geometry

formation energy from raw total energies = -0.1799 eV/atom

Cell lengths 6.5523, 6.5523, 6.5523 Å; angles 90.00, 90.00, 90.00 degrees
Space group Pm-3m (No. 221)
Symmetry-distinct sites (fractional):
Rb  0.0000  0.0000  0.5000
Pd  0.5000  0.5000  0.5000
Se  0.0000  0.0000  0.0000

---

[12]
Compound: CuAg2Ir
Source: Alexandria via LeMat-Bulk
Functional: GGA-PBE
Structure: optimized geometry

ΔE_f = 0.314 eV per atom

Cell lengths 2.6743, 4.2646, 5.6699 Å; angles 90.00, 103.19, 90.00 degrees
Space group Pm (No. 6)
Symmetry-distinct sites (fractional):
Cu  0.0000  0.0000  0.0000
Ag  0.2144  0.0000  0.4693
Ag  0.8326  0.5000  0.7139
Ir  0.5773  0.5000  0.1806